(1)
A relaxed structure of K2Cd4Br9. Source: Alexandria, functional PBE-GGA.

Cell and atoms, written as extended XYZ:
```
30
Lattice="7.471 0.000 0.015 3.734 6.471 0.041 -0.051 -0.110 20.988" Properties=species:S:1:pos:R:3 pbc="T T T"
Br 9.618 3.861 19.354
Cd 7.436 4.224 17.113
Br 9.910 4.231 5.292
Br 4.979 4.179 15.774
Br 6.272 6.442 5.293
Br 1.537 2.500 1.689
K 7.450 -0.038 7.453
Cd 3.710 2.101 10.377
Br 5.257 3.916 8.851
Br 8.846 2.547 8.853
Cd 3.718 2.138 3.931
Cd 7.469 4.314 0.173
K 11.195 6.455 3.112
Br 8.235 6.343 8.868
Cd 7.445 4.260 10.667
Br 1.245 2.130 15.752
Br 2.920 0.019 12.175
Br 6.175 2.183 5.270
Br 4.518 0.075 1.684
Br 2.309 3.814 12.191
Cd 7.448 4.276 6.618
Br 5.898 2.445 12.193
Br 4.882 -0.080 15.750
Cd 3.707 2.085 14.426
K -0.040 -0.093 17.932
K 3.705 6.399 13.591
Br 5.128 3.870 1.704
Cd 3.686 2.048 20.871
Br 6.027 2.492 19.340
Br 6.637 6.286 19.359
```

Calculated values
Crystal system = triclinic
N(E_F) = 2.7 states/eV/f.u.
E = -35.74 eV per formula unit
Magnetization = 0.000 μB per formula unit
SG = P-1 (2)

=====

(2)
A relaxed structure of K2CdBr. Source: Alexandria, functional PBE-GGA.

Cell and atoms, written as extended XYZ:
```
4
Lattice="7.853 0.004 0.000 4.839 6.185 0.000 -6.346 -3.095 3.438" Properties=species:S:1:pos:R:3 pbc="T T T"
K 2.419 3.092 1.719
Cd 3.926 0.002 1.719
K 0.000 0.000 0.000
Br 6.346 3.095 0.000
```

Calculated values
Crystal system = tetragonal
N(E_F) = 2.2 states/eV/f.u.
Energy above the most stable polymorph in this dataset = 56 kJ/mol of formula units
E = -7.40 eV per formula unit
Magnetization = 0.000 μB per formula unit
SG = I-4m2 (119)

=====

(3)
A relaxed structure of KCdBr4. Source: Alexandria, functional PBE-GGA.

Cell and atoms, written as extended XYZ:
```
12
Lattice="-1.525 5.977 -2.611 -5.575 -6.093 2.715 0.069 3.991 9.097" Properties=species:S:1:pos:R:3 pbc="T T T"
Br -3.010 1.855 1.921
K -3.813 5.065 5.943
Br -2.386 6.405 3.137
Br -4.644 -2.530 6.064
Cd -0.441 1.799 1.926
Br -4.672 -4.154 2.363
Br -4.020 2.020 7.281
Cd -6.590 2.076 7.275
Br -1.352 5.338 0.380
Br -5.679 -1.463 8.821
K -3.217 -1.190 3.258
Br -2.358 8.029 6.839
```

Calculated values
Crystal system = monoclinic
N(E_F) = 1.5 states/eV/f.u.
Energy above the most stable polymorph in this dataset = 0 kJ/mol of formula units
E = -14.00 eV per formula unit
Magnetization = 0.949 μB per formula unit
SG = P2_1/m (11)

=====

(4)
A relaxed structure of KCd3Br. Source: Alexandria, functional PBE-GGA.

Cell and atoms, written as extended XYZ:
```
5
Lattice="-5.046 -2.483 2.965 -1.574 -3.134 -5.302 3.533 -4.943 1.873" Properties=species:S:1:pos:R:3 pbc="T T T"
Cd 1.766 -2.471 0.936
Cd -0.787 -1.567 -2.651
K -1.543 -5.280 -0.232
Br 0.000 0.000 0.000
Cd -2.523 -1.241 1.483
```

Calculated values
Crystal system = cubic
N(E_F) = 0.2 states/eV/f.u.
Energy above the most stable polymorph in this dataset = 0 kJ/mol of formula units
E = -5.15 eV per formula unit
Magnetization = 0.000 μB per formula unit
SG = Pm-3m (221)

=====

(5)
A relaxed structure of KCd2Br. Source: Alexandria, functional PBE-GGA.

Cell and atoms, written as extended XYZ:
```
8
Lattice="-0.079 -4.310 -8.705 -0.802 -8.672 4.302 -3.504 -6.253 -2.292" Properties=species:S:1:pos:R:3 pbc="T T T"
Cd -2.941 -9.362 -3.467
Cd -1.386 -7.425 1.224
K -0.441 -6.491 -2.202
Br 0.000 0.000 0.000
Br -2.012 -8.527 -6.599
Cd -3.418 -16.245 -5.474
Cd -1.028 -5.439 -5.672
K -2.374 -10.708 -0.096
```

Calculated values
Crystal system = tetragonal
N(E_F) = 0.1 states/eV/f.u.
Energy above the most stable polymorph in this dataset = 62 kJ/mol of formula units
E = -6.46 eV per formula unit
Magnetization = 0.000 μB per formula unit
SG = I-42d (122)

=====

(6)
A relaxed structure of K2CdBr. Source: Alexandria, functional PBE-GGA.

Cell and atoms, written as extended XYZ:
```
4
Lattice="3.093 -4.377 2.819 -2.736 -3.440 4.166 -1.210 -5.813 -1.193" Properties=species:S:1:pos:R:3 pbc="T T T"
Cd -0.426 -6.815 2.896
K -0.639 -10.222 4.344
Br 0.000 0.000 0.000
K -0.213 -3.407 1.448
```

Calculated values
Crystal system = cubic
N(E_F) = 3.7 states/eV/f.u.
Energy above the most stable polymorph in this dataset = 63 kJ/mol of formula units
E = -7.33 eV per formula unit
Magnetization = 0.000 μB per formula unit
SG = Fm-3m (225)